No. 1
Entry from the Alexandria database: a geometry-optimized BeGeS structure (PBE).

Its theoretical density is 3.670 g cm⁻³. Its energy above the lowest structure with this stoichiometry is 0.133 eV per formula unit. The value obtained for the volume is 102.9 Å³/cell. Its density of states at the Fermi level is 2.1 states/eV per cell. As for the electronic total energy: -27.35 eV for the cell shown.

It has space group P3m1 (No. 156), with a = 3.3818 Å, b = 3.3818 Å, c = 10.3911 Å, α = 90.00°, β = 90.00° and γ = 120.00°. The asymmetric unit holds Be at (0.0000, 0.0000, 0.0000), Be at (0.3333, 0.6667, 0.7259), Ge at (0.3333, 0.6667, 0.4957), Ge at (0.6667, 0.3333, 0.3105), S at (0.0000, 0.0000, 0.7879) and S at (0.3333, 0.6667, 0.0649).


No. 2
Entry from the Alexandria database: a geometry-optimized BeGeS structure (PBE).

Its theoretical density is 3.568 g cm⁻³. Its energy above the lowest structure with this stoichiometry is 0.223 eV per formula unit. The value obtained for the volume is 211.7 Å³/cell. As for the electronic total energy: -54.35 eV for the cell shown.

It has space group Imm2 (No. 44), with a = 3.720 Å, b = 11.108 Å, c = 5.124 Å, α = 90.00°, β = 90.00° and γ = 90.00°. The asymmetric unit holds Be at (0.000, 0.178, 0.000), Ge at (0.000, 0.000, 0.783), Ge at (0.000, 0.500, 0.995) and S at (0.000, 0.322, 0.730).


No. 3
Entry from the Alexandria database: a geometry-optimized BeGeS structure (PBE).

Its theoretical density is 3.519 g cm⁻³. Its energy above the lowest structure with this stoichiometry is 0.000 eV per formula unit. The value obtained for the volume is 322.0 Å³/cell. Its density of states at the Fermi level is 0.5 states/eV per cell. As for the electronic total energy: -82.86 eV for the cell shown.

It has space group R3m (No. 160, hexagonal axes), with a = 3.7016 Å, b = 3.7016 Å, c = 27.1329 Å, α = 90.00°, β = 90.00° and γ = 120.00°. The asymmetric unit holds Be at (0.0000, 0.0000, 0.0000), Be at (0.0000, 0.0000, 0.2325), Ge at (0.0000, 0.0000, 0.1476), Ge at (0.0000, 0.0000, 0.7785), S at (0.0000, 0.0000, 0.6902) and S at (0.0000, 0.0000, 0.9233).


No. 4
Entry from the Alexandria database: a geometry-optimized SrBeGe2S6 structure (PBE).

Its theoretical density is 2.955 g cm⁻³. The value obtained for the volume is 976.2 Å³/cell. As for the electronic total energy: -186.58 eV for the cell shown.

It has space group C2/c (No. 15), with a = 13.387 Å, b = 11.412 Å, c = 7.257 Å, α = 90.00°, β = 118.29° and γ = 90.00°. The asymmetric unit holds Sr at (0.000, 0.171, 0.250), Be at (0.000, 0.188, 0.750), Ge at (0.210, 0.423, 0.144), S at (0.101, 0.067, 0.675), S at (0.129, 0.249, 0.041) and S at (0.146, 0.436, 0.392).


No. 5
Entry from the Alexandria database: a geometry-optimized Ta2BeGeS structure (PBE).

Its theoretical density is 7.464 g cm⁻³. The value obtained for the volume is 105.8 Å³/cell. Its density of states at the Fermi level is 2.6 states/eV per cell. As for the electronic total energy: -28.18 eV for the cell shown.

It has space group P4/mmm (No. 123), with a = 4.836 Å, b = 4.836 Å, c = 4.524 Å, α = 90.00°, β = 90.00° and γ = 90.00°. The asymmetric unit holds Ta at (0.000, 0.500, 0.000), Be at (0.000, 0.000, 0.500), Ge at (0.500, 0.500, 0.000) and S at (0.500, 0.500, 0.500).


No. 6
Entry from the Alexandria database: a geometry-optimized Be3GeSb structure (PBE).

Its theoretical density is 4.408 g cm⁻³. Its energy above the lowest structure with this stoichiometry is 0.000 eV per formula unit. The value obtained for the volume is 83.4 Å³/cell. Its density of states at the Fermi level is 3.0 states/eV per cell. As for the electronic total energy: -15.89 eV for the cell shown.

It has space group Pm-3m (No. 221), with a = 4.369 Å, b = 4.369 Å, c = 4.369 Å, α = 90.00°, β = 90.00° and γ = 90.00°. The asymmetric unit holds Be at (0.000, 0.000, 0.500), Ge at (0.000, 0.000, 0.000) and Sb at (0.500, 0.500, 0.500).


No. 7
Entry from the Alexandria database: a geometry-optimized BeGe3Sb structure (PBE).

Its theoretical density is 5.858 g cm⁻³. Its energy above the lowest structure with this stoichiometry is 0.000 eV per formula unit. The value obtained for the volume is 98.8 Å³/cell. Its density of states at the Fermi level is 2.4 states/eV per cell. As for the electronic total energy: -19.70 eV for the cell shown.

It has space group Pm-3m (No. 221), with a = 4.624 Å, b = 4.624 Å, c = 4.624 Å, α = 90.00°, β = 90.00° and γ = 90.00°. The asymmetric unit holds Be at (0.000, 0.000, 0.000), Ge at (0.000, 0.000, 0.500) and Sb at (0.500, 0.500, 0.500).


No. 8
Entry from the Alexandria database: a geometry-optimized BeGe2Sb structure (PBE).

Its theoretical density is 5.889 g cm⁻³. Its energy above the lowest structure with this stoichiometry is 1.632 eV per formula unit. The value obtained for the volume is 311.4 Å³/cell. Its density of states at the Fermi level is 7.2 states/eV per cell. As for the electronic total energy: -58.08 eV for the cell shown.

It has space group Fm-3m (No. 225), with a = 6.778 Å, b = 6.778 Å, c = 6.778 Å, α = 90.00°, β = 90.00° and γ = 90.00°. The asymmetric unit holds Be at (0.000, 0.000, 0.000), Ge at (0.250, 0.250, 0.250) and Sb at (0.000, 0.000, 0.500).


E_form (uncorrected), record by record: -0.402; -0.372; -0.446; -0.724; 1.599; 0.805; 0.401; 0.641 eV/atom